Entry 1:
A plane-wave DFT calculation with SCAN was carried out for ZrRe2Ir at its PBEsol-relaxed geometry.

The structure in POSCAR format:
```
ZrRe2Ir
1.0
2.738 0.000 0.000
0.000 2.738 0.000
0.000 0.000 8.455
Zr Re Ir
1 2 1
direct
0.000 0.000 0.000
0.500 0.500 0.275
0.500 0.500 0.725
0.000 0.000 0.500
```

Calculated values
Distance to the lowest polymorph of the same formula ... 0.186 eV/atom
Space-group type ... P4/mmm (123)
ΔE_f ... -0.0078 eV/atom
Volume ... 15.85 A^3/atom

---

Entry 2:
A plane-wave DFT calculation with SCAN was carried out for ZrRe2Ir at its PBEsol-relaxed geometry.

The structure in POSCAR format:
```
ZrRe2Ir
1.0
1.377 0.795 9.593
-1.377 0.795 9.593
0.000 -1.590 9.593
Zr Re Ir
1 2 1
direct
0.000 0.000 0.000
0.243 0.243 0.243
0.757 0.757 0.757
0.500 0.500 0.500
```

Calculated values
Distance to the lowest polymorph of the same formula ... 0.326 eV/atom
Space-group type ... R-3m (166)
ΔE_f ... 0.1329 eV/atom
Volume ... 15.76 A^3/atom

---

Entry 3:
A plane-wave DFT calculation with SCAN was carried out for ZrRe2Ir at its PBEsol-relaxed geometry.

The structure in POSCAR format:
```
ZrRe2Ir
1.0
-1.941 1.941 4.192
1.941 -1.941 4.192
1.941 1.941 -4.192
Zr Re Ir
1 2 1
direct
0.000 0.000 0.000
0.250 0.750 0.500
0.750 0.250 0.500
0.500 0.500 0.000
```

Calculated values
Distance to the lowest polymorph of the same formula ... 0.073 eV/atom
Space-group type ... I4/mmm (139)
ΔE_f ... -0.1203 eV/atom
Volume ... 15.79 A^3/atom

---

Entry 4:
A plane-wave DFT calculation with SCAN was carried out for IrRh at its PBEsol-relaxed geometry.

The structure in POSCAR format:
```
IrRh
1.0
4.671 0.000 0.000
0.000 4.376 0.000
0.000 0.000 5.394
Ir Rh
4 4
direct
0.082 0.250 0.126
0.418 0.750 0.626
0.582 0.250 0.374
0.918 0.750 0.874
0.085 0.250 0.623
0.415 0.750 0.123
0.585 0.250 0.877
0.915 0.750 0.377
```

Calculated values
Space-group type ... Pnma (62)
ΔE_f ... 0.0386 eV/atom
Volume ... 13.78 A^3/atom

---

Entry 5:
A plane-wave DFT calculation with SCAN was carried out for Ir5Rh at its PBEsol-relaxed geometry.

The structure in POSCAR format:
```
Ir5Rh
1.0
4.981 -1.359 0.000
4.981 1.359 0.000
-1.665 0.000 6.209
Ir Rh
5 1
direct
0.000 0.000 0.000
0.055 0.055 0.611
0.332 0.332 0.666
0.664 0.664 0.333
0.721 0.721 0.944
0.387 0.387 0.278
```

Calculated values
Space-group type ... Cm (8)
ΔE_f ... 0.0811 eV/atom
Volume ... 14.01 A^3/atom

---

Entry 6:
A plane-wave DFT calculation with SCAN was carried out for Ir8Rh at its PBEsol-relaxed geometry.

The structure in POSCAR format:
```
Ir8Rh
1.0
-4.056 4.056 1.912
4.056 -4.056 1.912
4.056 4.056 -1.912
Ir Rh
8 1
direct
0.000 0.333 0.333
0.000 0.667 0.667
0.333 0.000 0.333
0.333 0.333 0.665
0.333 0.667 0.000
0.667 0.000 0.667
0.667 0.333 0.000
0.667 0.667 0.335
0.000 0.000 0.000
```

Calculated values
Space-group type ... I4/mmm (139)
ΔE_f ... -0.0102 eV/atom
Volume ... 13.98 A^3/atom

---

Entry 7:
A plane-wave DFT calculation with SCAN was carried out for Ir3Rh at its PBEsol-relaxed geometry.

The structure in POSCAR format:
```
Ir3Rh
1.0
5.414 0.000 0.000
-2.707 4.688 0.000
0.000 0.000 4.396
Ir Rh
6 2
direct
0.167 0.334 0.250
0.167 0.833 0.250
0.334 0.167 0.750
0.666 0.833 0.250
0.833 0.167 0.750
0.833 0.666 0.750
0.333 0.667 0.750
0.667 0.333 0.250
```

Calculated values
Space-group type ... P6_3/mmc (194)
ΔE_f ... 0.0786 eV/atom
Volume ... 13.95 A^3/atom

---

Entry 8:
A plane-wave DFT calculation with SCAN was carried out for Ir3Rh at its PBEsol-relaxed geometry.

The structure in POSCAR format:
```
Ir3Rh
1.0
3.817 0.000 0.000
0.000 3.817 0.000
0.000 0.000 3.817
Ir Rh
3 1
direct
0.000 0.000 0.500
0.000 0.500 0.000
0.500 0.000 0.000
0.500 0.500 0.500
```

Calculated values
Space-group type ... Pm-3m (221)
ΔE_f ... -0.0144 eV/atom
Volume ... 13.90 A^3/atom

---

Entry 9:
A plane-wave DFT calculation with SCAN was carried out for Ir3Rh at its PBEsol-relaxed geometry.

The structure in POSCAR format:
```
Ir3Rh
1.0
2.707 0.000 0.000
-1.353 2.344 0.000
0.000 0.000 8.803
Ir Rh
3 1
direct
0.000 0.000 0.000
0.333 0.667 0.251
0.333 0.667 0.749
0.000 0.000 0.500
```

Calculated values
Space-group type ... P-6m2 (187)
ΔE_f ... 0.0771 eV/atom
Volume ... 13.96 A^3/atom

---

Entry 10:
A plane-wave DFT calculation with SCAN was carried out for Ir5Rh at its PBEsol-relaxed geometry.

The structure in POSCAR format:
```
Ir5Rh
1.0
0.000 3.568 3.568
3.568 0.000 3.568
3.568 3.568 0.000
Ir Rh
5 1
direct
0.000 0.000 0.000
0.125 0.625 0.625
0.625 0.125 0.625
0.625 0.625 0.125
0.625 0.625 0.625
0.250 0.250 0.250
```

Calculated values
Space-group type ... F-43m (216)
ΔE_f ... 0.7701 eV/atom
Volume ... 15.14 A^3/atom

---

Entry 11:
A plane-wave DFT calculation with SCAN was carried out for IrRh at its PBEsol-relaxed geometry.

The structure in POSCAR format:
```
IrRh
1.0
2.698 0.000 0.000
-1.349 2.336 0.000
0.000 0.000 8.769
Ir Rh
2 2
direct
0.333 0.667 0.374
0.667 0.333 0.626
0.333 0.667 0.875
0.667 0.333 0.125
```

Calculated values
Space-group type ... P-3m1 (164)
ΔE_f ... 0.0617 eV/atom
Volume ... 13.82 A^3/atom

---

Entry 12:
A plane-wave DFT calculation with SCAN was carried out for Ir3Rh at its PBEsol-relaxed geometry.

The structure in POSCAR format:
```
Ir3Rh
1.0
4.394 0.000 0.000
0.000 5.415 0.000
0.000 0.000 4.688
Ir Rh
6 2
direct
0.250 0.002 0.167
0.250 0.250 0.667
0.250 0.498 0.167
0.750 0.502 0.833
0.750 0.750 0.333
0.750 0.998 0.833
0.250 0.750 0.666
0.750 0.250 0.334
```

Calculated values
Space-group type ... Pmmn (59)
ΔE_f ... 0.0679 eV/atom
Volume ... 13.95 A^3/atom

---

Entry 13:
A plane-wave DFT calculation with SCAN was carried out for Ir5Rh4 at its PBEsol-relaxed geometry.

The structure in POSCAR format:
```
Ir5Rh4
1.0
-4.036 4.036 1.904
4.036 -4.036 1.904
4.036 4.036 -1.904
Ir Rh
5 4
direct
0.000 0.000 0.000
0.333 0.333 0.667
0.333 0.667 0.000
0.667 0.333 0.000
0.667 0.667 0.333
0.000 0.331 0.331
0.000 0.669 0.669
0.331 0.000 0.331
0.669 0.000 0.669
```

Calculated values
Space-group type ... I4/mmm (139)
ΔE_f ... -0.0296 eV/atom
Volume ... 13.78 A^3/atom

---

Entry 14:
A plane-wave DFT calculation with SCAN was carried out for Ir3Rh at its PBEsol-relaxed geometry.

The structure in POSCAR format:
```
Ir3Rh
1.0
-1.358 4.386 2.344
1.358 -4.386 2.344
1.358 4.386 -2.344
Ir Rh
3 1
direct
0.000 0.000 0.000
0.081 0.333 0.749
0.584 0.333 0.251
0.499 0.999 0.500
```

Calculated values
Space-group type ... Imm2 (44)
ΔE_f ... 0.0654 eV/atom
Volume ... 13.96 A^3/atom

---

Entry 15:
A plane-wave DFT calculation with SCAN was carried out for Ir5Rh at its PBEsol-relaxed geometry.

The structure in POSCAR format:
```
Ir5Rh
1.0
2.704 0.000 0.000
0.000 2.704 0.000
0.000 0.000 11.459
Ir Rh
5 1
direct
0.000 0.000 0.000
0.000 0.000 0.333
0.000 0.000 0.667
0.500 0.500 0.168
0.500 0.500 0.832
0.500 0.500 0.500
```

Calculated values
Space-group type ... P4/mmm (123)
ΔE_f ... -0.0076 eV/atom
Volume ... 13.96 A^3/atom

---

Entry 16:
A plane-wave DFT calculation with SCAN was carried out for Ir5Rh at its PBEsol-relaxed geometry.

The structure in POSCAR format:
```
Ir5Rh
1.0
4.395 0.000 0.000
0.000 1.359 7.039
0.000 -1.359 7.039
Ir Rh
5 1
direct
0.000 0.000 0.000
0.000 0.331 0.331
0.000 0.666 0.666
0.500 0.555 0.555
0.500 0.888 0.888
0.500 0.222 0.222
```

Calculated values
Space-group type ... Amm2 (38)
ΔE_f ... 0.0843 eV/atom
Volume ... 14.01 A^3/atom

---

Entry 17:
A plane-wave DFT calculation with SCAN was carried out for Ir3Rh at its PBEsol-relaxed geometry.

The structure in POSCAR format:
```
Ir3Rh
1.0
4.475 -1.350 0.000
4.475 1.350 0.000
-0.814 0.000 4.601
Ir Rh
3 1
direct
0.000 0.000 0.000
0.251 0.251 0.751
0.749 0.749 0.249
0.500 0.500 0.500
```

Calculated values
Space-group type ... C2/m (12)
ΔE_f ... -0.0247 eV/atom
Volume ... 13.90 A^3/atom

---

Entry 18:
A plane-wave DFT calculation with SCAN was carried out for IrRh at its PBEsol-relaxed geometry.

The structure in POSCAR format:
```
IrRh
1.0
2.692 0.000 0.000
0.000 2.692 0.000
0.000 0.000 7.593
Ir Rh
2 2
direct
0.250 0.250 0.125
0.750 0.750 0.875
0.250 0.250 0.626
0.750 0.750 0.374
```

Calculated values
Space-group type ... P4/nmm (129)
ΔE_f ... -0.0195 eV/atom
Volume ... 13.76 A^3/atom

---

Entry 19:
A plane-wave DFT calculation with SCAN was carried out for IrRh at its PBEsol-relaxed geometry.

The structure in POSCAR format:
```
IrRh
1.0
4.460 -1.344 0.000
4.460 1.344 0.000
-0.809 0.000 4.584
Ir Rh
2 2
direct
0.126 0.126 0.378
0.874 0.874 0.622
0.376 0.376 0.125
0.624 0.624 0.875
```

Calculated values
Space-group type ... C2/m (12)
ΔE_f ... -0.0376 eV/atom
Volume ... 13.74 A^3/atom

---

Entry 20:
A plane-wave DFT calculation with SCAN was carried out for Ir3Rh at its PBEsol-relaxed geometry.

The structure in POSCAR format:
```
Ir3Rh
1.0
2.700 -3.815 0.000
2.700 3.815 0.000
0.000 0.000 2.700
Ir Rh
3 1
direct
0.000 0.000 0.000
0.000 0.500 0.500
0.500 0.000 0.500
0.500 0.500 0.000
```

Calculated values
Space-group type ... Cmmm (65)
ΔE_f ... -0.0164 eV/atom
Volume ... 13.90 A^3/atom

---

Entry 21:
A plane-wave DFT calculation with SCAN was carried out for IrRh at its PBEsol-relaxed geometry.

The structure in POSCAR format:
```
IrRh
1.0
1.344 0.776 4.391
-1.344 0.776 4.391
0.000 -1.552 4.391
Ir Rh
1 1
direct
0.000 0.000 0.000
0.500 0.500 0.500
```

Calculated values
Space-group type ... R-3m (166)
ΔE_f ... -0.0297 eV/atom
Volume ... 13.74 A^3/atom

---

Entry 22:
A plane-wave DFT calculation with SCAN was carried out for IrRh at its PBEsol-relaxed geometry.

The structure in POSCAR format:
```
IrRh
1.0
-1.900 1.900 3.802
1.900 -1.900 3.802
1.900 1.900 -3.802
Ir Rh
2 2
direct
0.375 0.625 0.750
0.625 0.375 0.250
0.125 0.875 0.250
0.875 0.125 0.750
```

Calculated values
Space-group type ... I4_1/amd (141)
ΔE_f ... -0.0377 eV/atom
Volume ... 13.73 A^3/atom

---

Entry 23:
A plane-wave DFT calculation with SCAN was carried out for Ir3Rh at its PBEsol-relaxed geometry.

The structure in POSCAR format:
```
Ir3Rh
1.0
2.700 0.000 0.000
0.000 2.700 0.000
0.000 0.000 7.632
Ir Rh
3 1
direct
0.000 0.000 0.000
0.500 0.500 0.250
0.500 0.500 0.750
0.000 0.000 0.500
```

Calculated values
Space-group type ... P4/mmm (123)
ΔE_f ... -0.0124 eV/atom
Volume ... 13.91 A^3/atom

---

Entry 24:
A plane-wave DFT calculation with SCAN was carried out for Ir4Rh5 at its PBEsol-relaxed geometry.

The structure in POSCAR format:
```
Ir4Rh5
1.0
-4.030 4.030 1.900
4.030 -4.030 1.900
4.030 4.030 -1.900
Ir Rh
4 5
direct
0.000 0.335 0.335
0.000 0.665 0.665
0.335 0.000 0.335
0.665 0.000 0.665
0.000 0.000 0.000
0.333 0.333 0.666
0.333 0.667 0.000
0.667 0.333 0.000
0.667 0.667 0.334
```

Calculated values
Space-group type ... I4/mmm (139)
ΔE_f ... -0.0273 eV/atom
Volume ... 13.72 A^3/atom

---

Entry 25:
A plane-wave DFT calculation with SCAN was carried out for Ir5Rh at its PBEsol-relaxed geometry.

The structure in POSCAR format:
```
Ir5Rh
1.0
4.700 0.000 0.000
-2.350 4.071 0.000
0.000 0.000 4.397
Ir Rh
5 1
direct
0.000 0.666 0.000
0.333 0.667 0.500
0.334 0.334 0.000
0.666 0.000 0.000
0.667 0.333 0.500
0.000 0.000 0.500
```

Calculated values
Space-group type ... P-62m (189)
ΔE_f ... 0.0818 eV/atom
Volume ... 14.02 A^3/atom

---

Entry 26:
A plane-wave DFT calculation with SCAN was carried out for IrRh at its PBEsol-relaxed geometry.

The structure in POSCAR format:
```
IrRh
1.0
3.960 0.000 0.000
-1.980 3.429 0.000
0.000 0.000 6.005
Ir Rh
2 2
direct
0.333 0.667 0.000
0.667 0.333 0.500
0.333 0.667 0.604
0.667 0.333 0.104
```

Calculated values
Space-group type ... P6_3mc (186)
ΔE_f ... 1.0983 eV/atom
Volume ... 20.39 A^3/atom

---

Entry 27:
A plane-wave DFT calculation with SCAN was carried out for Ir3Rh at its PBEsol-relaxed geometry.

The structure in POSCAR format:
```
Ir3Rh
1.0
-1.907 1.907 7.639
1.907 -1.907 7.639
1.907 1.907 -7.639
Ir Rh
6 2
direct
0.000 0.500 0.500
0.126 0.126 0.000
0.250 0.750 0.500
0.500 0.000 0.500
0.750 0.250 0.500
0.874 0.874 0.000
0.376 0.376 0.000
0.624 0.624 0.000
```

Calculated values
Space-group type ... I4/mmm (139)
ΔE_f ... -0.0183 eV/atom
Volume ... 13.89 A^3/atom

---

Entry 28:
A plane-wave DFT calculation with SCAN was carried out for Ir3Rh at its PBEsol-relaxed geometry.

The structure in POSCAR format:
```
Ir3Rh
1.0
2.714 0.000 0.000
0.000 4.383 0.000
0.000 0.000 4.695
Ir Rh
3 1
direct
0.000 0.000 0.000
0.000 0.500 0.334
0.500 0.000 0.501
0.500 0.500 0.833
```

Calculated values
Space-group type ... Pmm2 (25)
ΔE_f ... 0.0691 eV/atom
Volume ... 13.96 A^3/atom